Entry from Alexandria: crystalline CrNi at its relaxed geometry (GGA-PBE).

- E: -90.8 eV/cell

Cell lengths 12.3651, 2.4568, 4.4599 Å; angles 90.00, 90.00, 90.00 degrees
Space group Pmn2_1 (No. 31)
Asymmetric unit:
Cr: 0.0000 0.0945 0.0000 x2
Cr: 0.1622 0.4919 0.2031 x4
Ni: 0.0000 0.5501 0.5141 x2
Ni: 0.1661 0.0105 0.6874 x4

Entry from Alexandria: crystalline LiPm5S6 at its relaxed geometry (GGA-PBE).

- Raw formation energy: -1.9700 eV per atom

Cell lengths 6.9303, 12.0076, 6.9410 Å; angles 90.00, 109.50, 90.00 degrees
Space group C2/m (No. 12)
Asymmetric unit:
Li: 0.0000 0.0000 0.0000 x2
Pm: 0.0000 0.1660 0.5000 x4
Pm: 0.0000 0.3345 0.0000 x4
Pm: 0.0000 0.5000 0.5000 x2
S: 0.2413 0.0000 0.7581 x4
S: 0.2431 0.1622 0.2446 x8

Entry from Alexandria: crystalline PrSmCl at its relaxed geometry (GGA-PBE).

- Raw formation energy: -0.9019 eV per atom

Cell lengths 3.7889, 3.7889, 7.3177 Å; angles 90.00, 90.00, 120.00 degrees
Space group P3m1 (No. 156)
Asymmetric unit:
Pr: 0.0000 0.0000 0.0000 x1
Sm: 0.3333 0.6667 0.6122 x1
Cl: 0.6667 0.3333 0.3177 x1

Entry from Alexandria: crystalline ReHgAs at its relaxed geometry (GGA-PBE).

- Relative energy among the computed polymorphs: 474.5 meV per atom

Cell lengths 6.2280, 6.2280, 6.2280 Å; angles 90.00, 90.00, 90.00 degrees
Space group F-43m (No. 216)
Asymmetric unit:
Re: 0.0000 0.0000 0.0000 x4
Hg: 0.2500 0.2500 0.2500 x4
As: 0.2500 0.2500 0.7500 x4

no.,magnetization (μB/f.u.)
1,0.00
2,0.00
3,0.47
4,0.00